An optimized crystal structure of NbGeCl2. Source: Alexandria, functional PBE.

Its space-group type is No. 225. The formation energy (no corrections) is 250.1 meV/atom. The value obtained for the offset from the most stable computed form is 0 meV/atom. For the total magnetization, the calculation gives 0.0 μB per formula unit. As for the total energy: -69.5 eV for the cell shown.

Geometry as POSCAR:
```
NbGeCl2
1.0
6.552 0.000 0.000
0.000 6.552 0.000
0.000 0.000 6.552
Nb Ge Cl
4 4 8
Cartesian
0.000 0.000 0.000 Nb
0.000 3.276 3.276 Nb
3.276 0.000 3.276 Nb
3.276 3.276 0.000 Nb
0.000 0.000 3.276 Ge
0.000 3.276 0.000 Ge
3.276 0.000 0.000 Ge
3.276 3.276 3.276 Ge
1.638 1.638 1.638 Cl
1.638 1.638 4.914 Cl
1.638 4.914 1.638 Cl
1.638 4.914 4.914 Cl
4.914 1.638 1.638 Cl
4.914 1.638 4.914 Cl
4.914 4.914 1.638 Cl
4.914 4.914 4.914 Cl
```

---

An optimized crystal structure of TbTmAg2Te4. Source: Alexandria, functional PBE.

Its space-group type is No. 10. The formation energy (no corrections) is -822.2 meV/atom. For the total magnetization, the calculation gives 0.0 μB per formula unit. As for the total energy: -33.9 eV for the cell shown.

Geometry as POSCAR:
```
TbTmAg2Te4
1.0
7.445 0.000 0.000
0.000 4.394 0.000
-2.570 0.000 7.159
Tb Tm Ag Te
1 1 2 4
Cartesian
0.000 0.000 0.000 Tb
-1.285 2.197 3.580 Tm
2.438 0.000 3.580 Ag
3.723 2.197 0.000 Ag
-0.043 0.000 5.345 Te
1.235 2.197 1.816 Te
3.640 2.197 5.343 Te
4.918 0.000 1.814 Te
```

---

An optimized crystal structure of ZrTe2Pb. Source: Alexandria, functional PBE.

Its space-group type is No. 119. The formation energy (no corrections) is -86.6 meV/atom. For the total magnetization, the calculation gives 0.0 μB per formula unit. As for the total energy: -37.8 eV for the cell shown.

Geometry as POSCAR:
```
ZrTe2Pb
1.0
4.479 0.000 0.000
0.000 4.479 0.000
0.000 0.000 10.841
Zr Te Pb
2 4 2
Cartesian
0.000 0.000 0.000 Zr
2.239 2.239 5.421 Zr
0.000 0.000 5.421 Te
0.000 2.239 2.710 Te
2.239 0.000 8.131 Te
2.239 2.239 0.000 Te
0.000 2.239 8.131 Pb
2.239 0.000 2.710 Pb
```

---

An optimized crystal structure of V3CdGe. Source: Alexandria, functional PBE.

Its space-group type is No. 221. The energy of formation comes out at 4.1 eV per formula unit. The value obtained for the offset from the most stable computed form is 0 meV/atom. For the total magnetization, the calculation gives 3.5 μB per formula unit. As for the total energy: -28.7 eV for the cell shown.

Geometry as POSCAR:
```
V3CdGe
1.0
4.571 0.000 0.000
0.000 4.571 0.000
0.000 0.000 4.571
V Cd Ge
3 1 1
Cartesian
0.000 0.000 2.286 V
0.000 2.286 0.000 V
2.286 0.000 0.000 V
2.286 2.286 2.286 Cd
0.000 0.000 0.000 Ge
```

---

An optimized crystal structure of NbAl6Mo. Source: Alexandria, functional PBE.

Its space-group type is No. 123. The energy of formation comes out at -2.9 eV per formula unit. For the total magnetization, the calculation gives 0.4 μB per formula unit. As for the total energy: -46.2 eV for the cell shown.

Geometry as POSCAR:
```
NbAl6Mo
1.0
3.836 0.000 0.000
0.000 3.836 0.000
0.000 0.000 8.474
Nb Al Mo
1 6 1
Cartesian
0.000 0.000 0.000 Nb
0.000 0.000 4.237 Al
0.000 1.918 2.153 Al
0.000 1.918 6.320 Al
1.918 0.000 2.153 Al
1.918 0.000 6.320 Al
1.918 1.918 0.000 Al
1.918 1.918 4.237 Mo
```

---

An optimized crystal structure of BeNb2Ga. Source: Alexandria, functional PBE.

Its space-group type is No. 122. The energy of formation comes out at 0.8 eV per formula unit. The value obtained for the offset from the most stable computed form is 363 meV/atom. For the total magnetization, the calculation gives 0.0 μB per formula unit. As for the total energy: -104.5 eV for the cell shown.

Geometry as POSCAR:
```
BeNb2Ga
1.0
6.883 0.000 0.000
0.000 6.883 0.000
0.000 0.000 5.441
Be Nb Ga
4 8 4
Cartesian
0.000 0.000 0.000 Be
0.000 3.441 1.360 Be
3.441 0.000 4.081 Be
3.441 3.441 2.721 Be
1.615 1.721 0.680 Nb
1.721 5.057 2.040 Nb
1.721 5.267 4.761 Nb
1.826 1.721 3.401 Nb
5.057 5.162 3.401 Nb
5.162 1.615 4.761 Nb
5.162 1.826 2.040 Nb
5.267 5.162 0.680 Nb
0.000 0.000 2.721 Ga
0.000 3.441 4.081 Ga
3.441 0.000 1.360 Ga
3.441 3.441 0.000 Ga
```